1.
Computed, not measured: a geometry-optimized Y5SnSe5 structure at the GGA-PBE level of DFT.

Cell and atoms, written as POSCAR:
```
Y5SnSe5
1.0
-2.980 -3.484 3.669
0.223 -2.368 -6.767
7.120 -2.335 3.565
Y Se Sn
5 5 1
Cartesian
-1.077 -4.911 -0.839
-1.490 -1.742 1.834
5.440 -3.276 1.306
2.360 -6.018 0.900
2.003 -2.170 -0.433
4.045 -5.105 3.135
3.560 -1.168 1.782
3.886 -4.295 -0.923
0.477 -3.893 1.390
0.318 -3.082 -2.668
0.000 0.000 0.000
```

Calculated values
electronic total energy = -72.0 eV for the cell shown
magnetization = 0.00 μB per atom
ΔE_f (raw) = -1.66 eV per atom
Fermi-level density of states = 2.57 states/eV per cell

2.
Computed, not measured: a geometry-optimized La2PuSn3Ir4 structure at the GGA-PBE level of DFT.

Cell and atoms, written as POSCAR:
```
La2PuSn3Ir4
1.0
4.485 0.000 0.000
0.000 4.485 0.000
0.000 0.000 11.342
La Sn Ir Pu
2 3 4 1
Cartesian
0.000 2.243 8.678
2.243 0.000 2.664
2.243 0.000 9.905
0.000 2.243 1.438
0.000 0.000 5.671
0.000 2.243 4.065
2.243 0.000 7.278
0.000 0.000 0.000
2.243 2.243 0.000
2.243 2.243 5.671
```

Calculated values
electronic total energy = -77.6 eV for the cell shown
magnetization = 0.48 μB per atom
Fermi-level density of states = 9.54 states/eV per cell
E_form = -0.60 eV/atom

3.
Computed, not measured: a geometry-optimized CaTcSe structure at the GGA-PBE level of DFT.

Cell and atoms, written as POSCAR:
```
CaTcSe
1.0
-3.651 -1.489 0.674
3.231 -2.286 0.583
0.240 1.537 4.696
Tc Ca Se
1 1 1
Cartesian
1.069 -1.175 3.194
0.007 0.047 0.142
-1.256 -1.108 2.617
```

Calculated values
electronic total energy = -16.5 eV for the cell shown
magnetization = 0.00 μB per atom
ΔE_f (raw) = -0.23 eV per atom
Fermi-level density of states = 2.58 states/eV per cell
ΔE to the lowest computed polymorph = 0.510 eV per atom

4.
Computed, not measured: a geometry-optimized SrBi2Pd6 structure at the GGA-PBE level of DFT.

Cell and atoms, written as POSCAR:
```
SrBi2Pd6
1.0
-4.432 -3.832 6.188
4.062 -4.491 5.995
0.409 2.946 7.986
Bi Pd Sr
4 12 2
Cartesian
0.005 -0.672 2.521
2.036 -2.918 5.519
-2.211 -2.588 5.615
0.210 0.801 6.514
1.985 -4.905 13.149
2.173 -2.136 11.969
-1.936 -1.817 12.062
-0.169 -5.415 11.100
-1.926 -3.162 17.105
1.975 -3.561 8.106
-2.134 -3.242 8.199
-2.124 -4.587 13.242
0.218 -1.308 14.111
-0.159 -6.759 16.142
0.208 0.037 9.069
2.183 -3.480 17.012
0.020 -2.689 10.084
0.030 -4.033 15.127
```

Calculated values
electronic total energy = -80.4 eV for the cell shown
magnetization = 0.00 μB per atom
Fermi-level density of states = 12.21 states/eV per cell
E_form = 0.05 eV/atom
ΔE to the lowest computed polymorph = 0.342 eV per atom

5.
Computed, not measured: a geometry-optimized KSe3 structure at the GGA-PBE level of DFT.

Cell and atoms, written as POSCAR:
```
KSe3
1.0
5.697 0.000 0.000
0.000 3.401 -0.035
0.000 0.060 5.713
Se K
3 1
Cartesian
2.848 1.749 4.561
0.000 1.731 2.839
2.848 1.712 1.117
0.000 0.000 0.000
```

Calculated values
electronic total energy = -12.5 eV for the cell shown
magnetization = 0.00 μB per atom
ΔE_f (raw) = -0.23 eV per atom
Fermi-level density of states = 2.52 states/eV per cell
ΔE to the lowest computed polymorph = 0.243 eV per atom

6.
Computed, not measured: a geometry-optimized La3PbN structure at the GGA-PBE level of DFT.

Cell and atoms, written as POSCAR:
```
La3PbN
1.0
-3.420 0.127 7.020
3.479 2.149 6.654
-1.676 6.455 4.064
La Pb N
6 2 2
Cartesian
2.170 4.540 7.410
-2.809 5.511 6.478
-0.191 7.627 8.964
1.192 3.221 11.259
-3.787 4.191 10.328
-1.426 1.104 8.773
-0.607 3.278 6.659
-1.010 5.453 11.079
-0.269 1.455 2.955
-1.348 7.277 14.783
```

Calculated values
electronic total energy = -60.1 eV for the cell shown
magnetization = 0.00 μB per atom
ΔE_f (raw) = -0.65 eV per atom
Fermi-level density of states = 12.07 states/eV per cell

7.
Computed, not measured: a geometry-optimized ZnPPdCl2 structure at the GGA-PBE level of DFT.

Cell and atoms, written as POSCAR:
```
ZnPPdCl2
1.0
-4.642 -0.924 -1.325
0.672 -4.771 0.970
-1.414 0.707 4.458
Pd Cl P Zn
1 2 1 1
Cartesian
0.000 0.000 0.000
-2.321 -0.462 -0.663
0.336 -2.386 0.485
-0.707 0.354 2.229
-2.692 -2.494 2.052
```

Calculated values
electronic total energy = -14.5 eV for the cell shown
magnetization = 0.18 μB per atom
ΔE_f (raw) = 0.21 eV per atom
Fermi-level density of states = 2.33 states/eV per cell
ΔE to the lowest computed polymorph = 0.000 eV per atom

8.
Computed, not measured: a geometry-optimized Sc3MnRu4 structure at the GGA-PBE level of DFT.

Cell and atoms, written as POSCAR:
```
Sc3MnRu4
1.0
3.151 0.000 0.000
0.000 3.151 0.000
0.000 0.000 12.673
Ru Sc Mn
4 3 1
Cartesian
0.000 0.000 11.282
0.000 0.000 4.689
0.000 0.000 1.391
0.000 0.000 7.984
1.576 1.576 3.114
1.576 1.576 9.559
1.576 1.576 6.336
1.576 1.576 0.000
```

Calculated values
electronic total energy = -68.3 eV for the cell shown
magnetization = 0.28 μB per atom
Fermi-level density of states = 6.66 states/eV per cell
E_form = -0.38 eV/atom

9.
Computed, not measured: a geometry-optimized NaPr2Cl6 structure at the GGA-PBE level of DFT.

Cell and atoms, written as POSCAR:
```
NaPr2Cl6
1.0
7.295 0.000 -0.775
0.000 6.578 0.000
1.195 0.000 11.403
Pr Cl Na
4 12 2
Cartesian
4.440 0.005 7.180
1.001 3.295 9.537
4.051 6.573 3.447
7.490 3.284 1.091
5.174 1.719 1.414
2.872 4.983 5.462
2.527 4.848 1.698
6.366 5.008 3.124
5.922 4.885 -0.628
2.569 1.694 11.255
3.316 4.860 9.213
1.718 1.559 3.616
5.619 1.595 5.166
2.124 1.571 7.503
6.772 5.019 7.011
5.964 1.730 8.930
3.648 3.289 -0.388
0.598 0.000 5.701
```

Calculated values
electronic total energy = -80.6 eV for the cell shown
magnetization = 0.11 μB per atom
ΔE_f (raw) = -2.04 eV per atom
Fermi-level density of states = 0.46 states/eV per cell
ΔE to the lowest computed polymorph = 0.013 eV per atom

10.
Computed, not measured: a geometry-optimized Cu2SbAu structure at the GGA-PBE level of DFT.

Cell and atoms, written as POSCAR:
```
Cu2SbAu
1.0
-0.056 -2.477 2.386
1.354 -3.086 -0.692
6.741 0.364 3.017
Au Cu Sb
1 2 1
Cartesian
4.019 -2.600 2.356
2.062 -1.281 1.198
5.113 -0.208 2.384
7.605 -3.345 4.146
```

Calculated values
electronic total energy = -14.8 eV for the cell shown
magnetization = 0.00 μB per atom
ΔE_f (raw) = 0.19 eV per atom
Fermi-level density of states = 1.85 states/eV per cell

11.
Computed, not measured: a geometry-optimized CeThHg3 structure at the GGA-PBE level of DFT.

Cell and atoms, written as POSCAR:
```
CeThHg3
1.0
3.486 0.000 -0.480
0.000 5.000 0.000
0.328 0.000 15.281
Hg Ce Th
6 2 2
Cartesian
1.351 3.750 9.811
1.973 1.250 14.326
1.574 1.250 11.435
2.463 1.250 4.990
2.239 3.750 3.365
1.841 3.750 0.475
3.511 3.750 12.597
0.303 1.250 2.204
0.889 3.750 6.455
2.925 1.250 8.345
```

Calculated values
electronic total energy = -31.3 eV for the cell shown
magnetization = 0.27 μB per atom
Fermi-level density of states = 17.24 states/eV per cell
E_form = -0.28 eV/atom
ΔE to the lowest computed polymorph = 0.000 eV per atom

12.
Computed, not measured: a geometry-optimized NdCu6Pd6 structure at the GGA-PBE level of DFT.

Cell and atoms, written as POSCAR:
```
NdCu6Pd6
1.0
-4.690 -0.397 -1.745
-1.595 -6.347 -1.491
-4.450 -0.898 4.943
Cu Nd Pd
6 1 6
Cartesian
-4.615 -5.257 -0.843
-4.570 -0.648 1.599
-6.120 -2.385 2.549
-0.797 -3.173 -0.746
-3.143 -3.372 -1.618
-2.225 -0.449 2.472
0.000 0.000 0.000
-2.610 -1.539 0.144
-5.157 -2.756 0.045
-8.125 -6.103 1.562
-3.457 -2.792 2.706
-5.578 -4.885 1.661
-2.588 -4.452 0.746
```

Calculated values
electronic total energy = -64.7 eV for the cell shown
magnetization = 0.00 μB per atom
Fermi-level density of states = 3.41 states/eV per cell
E_form = -0.32 eV/atom

13.
Computed, not measured: a geometry-optimized CaHo2PuO6 structure at the GGA-PBE level of DFT.

Cell and atoms, written as POSCAR:
```
CaHo2PuO6
1.0
5.835 0.000 0.000
2.917 5.053 0.000
2.917 1.684 5.080
Ho O Ca Pu
2 6 1 1
Cartesian
2.917 1.684 4.766
5.835 3.369 2.139
7.870 3.532 1.242
4.189 3.279 3.857
6.734 1.989 3.857
6.580 4.838 3.857
4.958 1.524 1.242
4.676 5.050 1.242
8.752 5.053 2.980
2.917 1.684 0.299
```

Calculated values
electronic total energy = -87.9 eV for the cell shown
magnetization = 0.40 μB per atom
ΔE_f (raw) = -3.26 eV per atom
Fermi-level density of states = 0.66 states/eV per cell

14.
Computed, not measured: a geometry-optimized AgSeS2 structure at the GGA-PBE level of DFT.

Cell and atoms, written as POSCAR:
```
AgSeS2
1.0
-0.484 4.647 2.615
-4.674 0.894 -2.455
-5.809 -0.380 5.082
Ag S Se
2 4 2
Cartesian
-4.436 3.519 3.888
0.000 0.000 0.000
-6.397 1.814 3.816
-8.764 4.544 4.007
-4.445 1.150 0.122
-2.328 2.816 2.538
-6.531 1.643 1.354
-2.579 2.771 0.080
```

Calculated values
electronic total energy = -26.9 eV for the cell shown
magnetization = 0.00 μB per atom
ΔE_f (raw) = 0.29 eV per atom
Fermi-level density of states = 3.30 states/eV per cell

15.
Computed, not measured: a geometry-optimized Rb2ErVS4 structure at the GGA-PBE level of DFT.

Cell and atoms, written as POSCAR:
```
Rb2ErVS4
1.0
-3.890 -4.914 -3.246
2.940 -1.682 6.193
-3.329 5.661 2.588
S Rb Er V
4 2 1 1
Cartesian
-1.541 1.039 6.008
-1.681 2.681 2.764
-2.830 -1.039 1.592
-2.507 -4.553 0.705
0.000 0.000 0.000
-0.573 -2.304 3.669
-3.707 1.368 1.866
-0.195 1.989 4.390
```

Calculated values
electronic total energy = -42.3 eV for the cell shown
magnetization = 0.25 μB per atom
ΔE_f (raw) = -1.27 eV per atom

16.
Computed, not measured: a geometry-optimized LiHfTa3 structure at the GGA-PBE level of DFT.

Cell and atoms, written as POSCAR:
```
LiHfTa3
1.0
4.501 0.000 0.000
0.000 4.501 0.000
0.000 0.000 4.501
Li Hf Ta
1 1 3
Cartesian
0.000 0.000 0.000
2.251 2.251 2.251
0.000 0.000 2.251
2.251 0.000 0.000
0.000 2.251 0.000
```

Calculated values
electronic total energy = -42.4 eV for the cell shown
magnetization = 0.00 μB per atom
Fermi-level density of states = 6.81 states/eV per cell
E_form = 1.00 eV/atom
ΔE to the lowest computed polymorph = 0.000 eV per atom

17.
Computed, not measured: a geometry-optimized LiTmScCu structure at the GGA-PBE level of DFT.

Cell and atoms, written as POSCAR:
```
LiTmScCu
1.0
4.832 0.000 0.000
2.416 4.185 0.000
2.416 1.395 3.945
Li Sc Cu Tm
1 1 1 1
Cartesian
2.416 1.395 0.986
4.832 2.790 1.973
7.248 4.185 2.959
0.000 0.000 0.000
```

Calculated values
electronic total energy = -17.0 eV for the cell shown
magnetization = 0.00 μB per atom
Fermi-level density of states = 3.58 states/eV per cell
E_form = -0.04 eV/atom

18.
Computed, not measured: a geometry-optimized Ba4YTl3O12 structure at the GGA-PBE level of DFT.

Cell and atoms, written as POSCAR:
```
Ba4YTl3O12
1.0
7.557 0.000 0.000
-2.519 7.125 0.000
-2.519 -3.563 6.171
O Tl Ba Y
12 3 4 1
Cartesian
-1.260 0.891 4.628
1.260 4.453 1.543
1.276 1.804 0.000
1.260 -0.891 4.628
3.762 -2.660 4.608
-3.762 2.660 4.608
3.779 0.000 3.085
3.762 5.321 0.000
-1.276 0.902 1.563
3.779 2.672 1.543
1.276 -0.902 1.563
-1.260 3.563 3.085
2.519 3.563 0.000
2.519 -1.781 3.085
-2.519 1.781 3.085
3.779 0.000 0.000
-1.260 -1.781 3.085
-1.260 3.563 0.000
1.260 1.781 3.085
0.000 0.000 0.000
```

Calculated values
electronic total energy = -113.4 eV for the cell shown
magnetization = 0.00 μB per atom
ΔE_f (raw) = -1.63 eV per atom
Fermi-level density of states = 14.95 states/eV per cell

19.
Computed, not measured: a geometry-optimized AlRh2Cl structure at the GGA-PBE level of DFT.

Cell and atoms, written as POSCAR:
```
AlRh2Cl
1.0
-2.807 0.204 -0.856
1.772 -1.973 -1.273
-2.121 -5.541 5.637
Rh Al Cl
2 1 1
Cartesian
-0.025 -0.065 0.066
-1.036 -2.706 2.753
-1.048 -2.270 0.345
-2.108 -5.040 3.164
```

Calculated values
electronic total energy = -20.8 eV for the cell shown
magnetization = 0.00 μB per atom
ΔE_f (raw) = -0.12 eV per atom
Fermi-level density of states = 4.93 states/eV per cell
ΔE to the lowest computed polymorph = 0.311 eV per atom

20.
Computed, not measured: a geometry-optimized RbMn2CoCl8 structure at the GGA-PBE level of DFT.

Cell and atoms, written as POSCAR:
```
RbMn2CoCl8
1.0
6.002 2.127 -0.745
2.109 6.952 -0.663
-0.822 -0.593 9.622
Cl Rb Mn Co
8 1 2 1
Cartesian
3.637 2.820 -0.512
2.620 2.887 5.127
6.911 6.875 6.484
1.919 5.224 1.083
3.653 5.667 8.726
4.669 5.600 3.087
5.370 3.263 7.131
0.378 1.612 1.730
-0.411 -0.296 4.811
3.060 3.766 7.168
4.230 4.721 1.046
0.000 0.000 0.000
```

Calculated values
electronic total energy = -53.5 eV for the cell shown
magnetization = 1.00 μB per atom
ΔE_f (raw) = -1.03 eV per atom
Fermi-level density of states = 5.30 states/eV per cell

21.
Computed, not measured: a geometry-optimized TaNb3Ni structure at the GGA-PBE level of DFT.

Cell and atoms, written as POSCAR:
```
TaNb3Ni
1.0
-0.377 0.683 -4.539
-4.562 -0.564 0.294
-0.512 4.520 0.723
Nb Ta Ni
3 1 1
Cartesian
-0.188 0.342 -2.270
-0.256 2.260 0.361
-2.281 -0.282 0.147
-2.725 2.320 -1.761
0.000 0.000 0.000
```

Calculated values
electronic total energy = -43.5 eV for the cell shown
magnetization = 0.00 μB per atom
Fermi-level density of states = 7.24 states/eV per cell
E_form = 0.88 eV/atom
ΔE to the lowest computed polymorph = 0.563 eV per atom

22.
Computed, not measured: a geometry-optimized Sm5TmPb6 structure at the GGA-PBE level of DFT.

Cell and atoms, written as POSCAR:
```
Sm5TmPb6
1.0
-2.937 2.844 8.506
-4.902 -2.606 2.039
1.601 -6.477 4.148
Sm Pb Tm
5 6 1
Cartesian
-1.247 -3.293 7.336
-1.133 -2.986 2.037
-2.168 -6.097 4.149
-4.990 -2.946 7.357
-3.919 0.119 5.272
-4.167 -6.050 6.745
-3.098 -2.983 4.659
-5.983 0.106 7.925
-2.070 -0.189 7.948
-1.855 0.131 2.619
-3.139 -3.256 10.034
0.000 0.000 0.000
```

Calculated values
electronic total energy = -55.9 eV for the cell shown
magnetization = 0.00 μB per atom
Fermi-level density of states = 7.79 states/eV per cell
E_form = -0.47 eV/atom

23.
Computed, not measured: a geometry-optimized BeInS2 structure at the GGA-PBE level of DFT.

Cell and atoms, written as POSCAR:
```
BeInS2
1.0
-5.077 -0.525 -2.900
0.786 -5.809 -0.323
-4.477 -3.715 2.568
S Be In
4 2 2
Cartesian
-1.707 -4.671 -0.177
-3.749 -1.937 -0.957
-4.898 -5.671 0.689
-7.181 -7.820 -0.866
-2.918 -6.346 0.317
-2.146 -3.167 -1.612
-5.850 -3.704 -0.972
0.000 0.000 0.000
```

Calculated values
electronic total energy = -33.8 eV for the cell shown
magnetization = 0.00 μB per atom
ΔE_f (raw) = -0.54 eV per atom
Fermi-level density of states = 7.02 states/eV per cell
ΔE to the lowest computed polymorph = 0.000 eV per atom